No. 1
First-principles (GGA-PBE) data for a relaxed TaGe3Cl crystal, as listed in the Alexandria database.

Computed properties:
N(E_F)   0.49 states/eV per atom
Offset from the most stable computed form   407.9 kJ/mol of formula units
DFT total energy   -21.64 eV/f.u.

Geometry as POSCAR:
```
TaGe3Cl
1.0
4.7395 0.0000 0.0000
0.0000 4.7395 0.0000
0.0000 0.0000 4.7395
Ta Ge Cl
1 3 1
direct
0.0000 0.0000 0.0000
0.0000 0.5000 0.5000
0.5000 0.0000 0.5000
0.5000 0.5000 0.0000
0.5000 0.5000 0.5000
```



No. 2
First-principles (GGA-PBE) data for a relaxed Mn2IrPd crystal, as listed in the Alexandria database.

Computed properties:
N(E_F)   1.07 states/eV per atom
E_form   0.391 eV per atom
DFT total energy   -30.83 eV/f.u.

Geometry as POSCAR:
```
Mn2IrPd
1.0
-3.4088 3.4088 2.7400
3.4088 -3.4088 2.7400
3.4088 3.4088 -2.7400
Mn Ir Pd
4 2 2
direct
0.1184 0.1250 0.4934
0.3750 0.8816 0.0066
0.6316 0.6250 0.5066
0.8750 0.3684 0.9934
0.0000 0.0000 0.0000
0.7500 0.2500 0.5000
0.2500 0.7500 0.5000
0.5000 0.5000 0.0000
```



No. 3
First-principles (GGA-PBE) data for a relaxed Ti2ZnCu4 crystal, as listed in the Alexandria database.

Computed properties:
N(E_F)   0.54 states/eV per atom
Offset from the most stable computed form   0.0 kJ/mol of formula units
E_form   -0.083 eV per atom
DFT total energy   -34.03 eV/f.u.

Geometry as POSCAR:
```
Ti2ZnCu4
1.0
-1.2844 2.1100 8.7630
1.2844 -2.1100 8.7630
1.2844 2.1100 -8.7630
Ti Zn Cu
2 1 4
direct
0.0837 0.0837 0.0000
0.9163 0.9163 0.0000
0.5000 0.5000 0.0000
0.2252 0.7252 0.5000
0.3519 0.3519 0.0000
0.6481 0.6481 0.0000
0.7748 0.2748 0.5000
```



No. 4
First-principles (GGA-PBE) data for a relaxed TaMo crystal, as listed in the Alexandria database.

Computed properties:
N(E_F)   0.69 states/eV per atom
E_form   -0.121 eV per atom
DFT total energy   -22.93 eV/f.u.

Geometry as POSCAR:
```
TaMo
1.0
2.8461 0.0000 0.0000
1.0128 5.2156 0.0000
0.9850 1.3423 6.8329
Ta Mo
3 3
direct
0.0000 0.0000 0.0000
0.1799 0.1715 0.3325
0.8201 0.8285 0.6675
0.3398 0.3336 0.6652
0.5000 0.5000 0.0000
0.6602 0.6664 0.3348
```



No. 5
First-principles (GGA-PBE) data for a relaxed Ho2Fe15Co2 crystal, as listed in the Alexandria database.

Computed properties:
N(E_F)   1.18 states/eV per atom
E_form   -0.014 eV per atom
DFT total energy   -150.58 eV/f.u.

Geometry as POSCAR:
```
Ho2Fe15Co2
1.0
4.1977 2.4235 4.1514
-4.1977 2.4235 4.1514
0.0000 -4.8471 4.1514
Ho Fe Co
2 15 2
direct
0.1599 0.1599 0.1599
0.8401 0.8401 0.8401
0.0000 0.5000 0.5000
0.1584 0.1584 0.6569
0.1584 0.6569 0.1584
0.1998 0.5000 0.8002
0.1998 0.8002 0.5000
0.3431 0.8416 0.8416
0.5000 0.0000 0.5000
0.5000 0.1998 0.8002
0.5000 0.5000 0.0000
0.5000 0.8002 0.1998
0.6569 0.1584 0.1584
0.8002 0.1998 0.5000
0.8002 0.5000 0.1998
0.8416 0.3431 0.8416
0.8416 0.8416 0.3431
0.4070 0.4070 0.4070
0.5930 0.5930 0.5930
```



No. 6
First-principles (GGA-PBE) data for a relaxed CdSO5 crystal, as listed in the Alexandria database.

Computed properties:
N(E_F)   0.76 states/eV per atom
Offset from the most stable computed form   245.2 kJ/mol of formula units
DFT total energy   -32.79 eV/f.u.

Geometry as POSCAR:
```
CdSO5
1.0
4.3267 -2.9699 0.0000
4.3267 2.9699 0.0000
-3.0958 0.0000 6.6289
Cd S O
2 2 10
direct
0.0364 0.9636 0.7500
0.9636 0.0364 0.2500
0.5000 0.5000 0.0000
0.5000 0.5000 0.5000
0.2042 0.7231 0.0213
0.2578 0.3514 0.3949
0.2769 0.7958 0.4787
0.3514 0.2578 0.8949
0.4167 0.5833 0.7500
0.5833 0.4167 0.2500
0.6486 0.7422 0.1051
0.7231 0.2042 0.5213
0.7422 0.6486 0.6051
0.7958 0.2769 0.9787
```



No. 7
First-principles (GGA-PBE) data for a relaxed MgTa2Ru3 crystal, as listed in the Alexandria database.

Computed properties:
N(E_F)   0.23 states/eV per atom
E_form   -0.433 eV per atom
DFT total energy   -55.73 eV/f.u.

Geometry as POSCAR:
```
MgTa2Ru3
1.0
3.1674 0.0000 0.0000
0.0000 3.1674 0.0000
0.0000 0.0000 9.4970
Mg Ta Ru
1 2 3
direct
0.0000 0.0000 0.0000
0.0000 0.0000 0.3262
0.0000 0.0000 0.6738
0.5000 0.5000 0.1782
0.5000 0.5000 0.5000
0.5000 0.5000 0.8218
```



No. 8
First-principles (GGA-PBE) data for a relaxed ReSbPI2 crystal, as listed in the Alexandria database.

Computed properties:
N(E_F)   1.37 states/eV per atom
Offset from the most stable computed form   0.0 kJ/mol of formula units
DFT total energy   -19.01 eV/f.u.

Geometry as POSCAR:
```
ReSbPI2
1.0
5.3111 0.0000 0.0000
0.0000 5.3111 0.0000
0.0000 0.0000 5.2224
Re Sb P I
1 1 1 2
direct
0.0000 0.0000 0.0000
0.0000 0.0000 0.5000
0.5000 0.5000 0.5000
0.0000 0.5000 0.0000
0.5000 0.0000 0.0000
```



No. 9
First-principles (GGA-PBE) data for a relaxed LiYTiGa crystal, as listed in the Alexandria database.

Computed properties:
N(E_F)   0.78 states/eV per atom
E_form   -0.150 eV per atom
DFT total energy   -19.90 eV/f.u.

Geometry as POSCAR:
```
LiYTiGa
1.0
0.0000 3.3943 3.3943
3.3943 0.0000 3.3943
3.3943 3.3943 0.0000
Li Y Ti Ga
1 1 1 1
direct
0.0000 0.0000 0.0000
0.2500 0.2500 0.2500
0.7500 0.7500 0.7500
0.5000 0.5000 0.5000
```



No. 10
First-principles (GGA-PBE) data for a relaxed La2TlCl crystal, as listed in the Alexandria database.

Computed properties:
N(E_F)   0.55 states/eV per atom
Offset from the most stable computed form   137.0 kJ/mol of formula units
DFT total energy   -16.44 eV/f.u.

Geometry as POSCAR:
```
La2TlCl
1.0
-3.0907 3.0907 8.1168
3.0907 -3.0907 8.1168
3.0907 3.0907 -8.1168
La Tl Cl
4 2 2
direct
0.0923 0.6250 0.9673
0.3750 0.3423 0.4673
0.6577 0.1250 0.0327
0.8750 0.9077 0.5327
0.2500 0.7500 0.5000
0.5000 0.5000 0.0000
0.0000 0.0000 0.0000
0.7500 0.2500 0.5000
```



No. 11
First-principles (GGA-PBE) data for a relaxed Ti3NbRe crystal, as listed in the Alexandria database.

Computed properties:
N(E_F)   1.19 states/eV per atom
Offset from the most stable computed form   0.0 kJ/mol of formula units
E_form   -0.173 eV per atom
DFT total energy   -47.07 eV/f.u.

Geometry as POSCAR:
```
Ti3NbRe
1.0
8.1247 -1.5724 0.0000
8.1247 1.5724 0.0000
-1.2659 0.0000 6.5096
Ti Nb Re
6 2 2
direct
0.0006 0.0006 0.2796
0.1923 0.1923 0.3599
0.4090 0.4090 0.9556
0.5910 0.5910 0.0444
0.8077 0.8077 0.6401
0.9994 0.9994 0.7204
0.1985 0.1985 0.8442
0.8015 0.8015 0.1558
0.3973 0.3973 0.4454
0.6027 0.6027 0.5546
```



No. 12
First-principles (GGA-PBE) data for a relaxed LiTl5 crystal, as listed in the Alexandria database.

Computed properties:
N(E_F)   0.23 states/eV per atom
Offset from the most stable computed form   0.0 kJ/mol of formula units
E_form   -0.062 eV per atom
DFT total energy   -14.12 eV/f.u.

Geometry as POSCAR:
```
LiTl5
1.0
3.4113 0.0000 0.0000
0.0000 3.4113 0.0000
0.0000 0.0000 14.1152
Li Tl
1 5
direct
0.0000 0.0000 0.0000
0.0000 0.0000 0.3116
0.0000 0.0000 0.6884
0.5000 0.5000 0.1316
0.5000 0.5000 0.5000
0.5000 0.5000 0.8684
```



> What is the formula in the first record?

TaGe3Cl